Below is crystalline ZrAl2Cu at its relaxed geometry, with properties calculated at the GGA-PBE level.

The structure in CIF format:
```
data_ZrAl2Cu
_chemical_formula_sum 'Zr2 Al4 Cu2'
_space_group_name_H-M_alt 'I 4/m m m'
_space_group_IT_number 139
_space_group_name_Hall '-I 4 2'
_cell_length_a 4.1281
_cell_length_b 4.1281
_cell_length_c 7.9615
_cell_angle_alpha 90.00
_cell_angle_beta 90.00
_cell_angle_gamma 90.00
loop_
_atom_site_label
_atom_site_type_symbol
_atom_site_fract_x
_atom_site_fract_y
_atom_site_fract_z
Zr1 Zr 0.0000 0.0000 0.0000
Al1 Al 0.0000 0.5000 0.2500
Cu1 Cu 0.0000 0.0000 0.5000
```

## Properties
Energy of formation from the pure elements: -0.115 eV/atom
M_tot: 0.00 μB/f.u.


Below is crystalline Li2TbLu at its relaxed geometry, with properties calculated at the GGA-PBE level.

The structure in CIF format:
```
data_Li2TbLu
_chemical_formula_sum 'Li2 Tb1 Lu1'
_space_group_name_H-M_alt 'P 4/m m m'
_space_group_IT_number 123
_space_group_name_Hall '-P 4 2'
_cell_length_a 3.6762
_cell_length_b 3.6762
_cell_length_c 7.3509
_cell_angle_alpha 90.00
_cell_angle_beta 90.00
_cell_angle_gamma 90.00
loop_
_atom_site_label
_atom_site_type_symbol
_atom_site_fract_x
_atom_site_fract_y
_atom_site_fract_z
Li1 Li 0.0000 0.0000 0.2458
Tb1 Tb 0.5000 0.5000 0.5000
Lu1 Lu 0.5000 0.5000 0.0000
```

## Properties
Energy of formation from the pure elements: 0.159 eV/atom
M_tot: 0.00 μB/f.u.


Below is crystalline BeAgMo at its relaxed geometry, with properties calculated at the GGA-PBE level.

The structure in CIF format:
```
data_BeAgMo
_chemical_formula_sum 'Be2 Ag2 Mo2'
_space_group_name_H-M_alt 'I 4 m m'
_space_group_IT_number 107
_space_group_name_Hall 'I 4 -2'
_cell_length_a 2.7239
_cell_length_b 2.7239
_cell_length_c 11.1767
_cell_angle_alpha 90.00
_cell_angle_beta 90.00
_cell_angle_gamma 90.00
loop_
_atom_site_label
_atom_site_type_symbol
_atom_site_fract_x
_atom_site_fract_y
_atom_site_fract_z
Be1 Be 0.0000 0.0000 0.0000
Ag1 Ag 0.0000 0.0000 0.3529
Mo1 Mo 0.0000 0.0000 0.6494
```

## Properties
Energy of formation from the pure elements: 0.244 eV/atom
M_tot: 0.00 μB/f.u.


Below is crystalline Pr2Hg4Pb3 at its relaxed geometry, with properties calculated at the GGA-PBE level.

The structure in CIF format:
```
data_Pr2Hg4Pb3
_chemical_formula_sum 'Pr4 Hg8 Pb6'
_space_group_name_H-M_alt 'C 1 2/m 1'
_space_group_IT_number 12
_cell_length_a 9.0807
_cell_length_b 5.4675
_cell_length_c 10.2007
_cell_angle_alpha 90.00
_cell_angle_beta 93.74
_cell_angle_gamma 90.00
loop_
_space_group_symop_operation_xyz
'x,y,z'
'-x,-y,-z'
'-x,y,-z'
'x,-y,z'
'x+1/2,y+1/2,z'
'-x+1/2,-y+1/2,-z'
'-x+1/2,y+1/2,-z'
'x+1/2,-y+1/2,z'
loop_
_atom_site_label
_atom_site_type_symbol
_atom_site_fract_x
_atom_site_fract_y
_atom_site_fract_z
Pr1 Pr 0.1731 0.0000 0.2857
Hg1 Hg 0.0043 0.5000 0.1655
Hg2 Hg 0.1634 0.0000 0.6111
Pb1 Pb 0.0000 0.5000 0.5000
Pb2 Pb 0.1645 0.0000 0.9369
```

## Properties
Energy of formation from the pure elements: -0.310 eV/atom
M_tot: 0.00 μB/f.u.


Below is crystalline Ac4Sb5N at its relaxed geometry, with properties calculated at the GGA-PBE level.

The structure in CIF format:
```
data_Ac4Sb5N
_chemical_formula_sum 'Ac8 Sb10 N2'
_space_group_name_H-M_alt 'I m m m'
_space_group_IT_number 71
_space_group_name_Hall '-I 2 2'
_cell_length_a 4.8977
_cell_length_b 11.6204
_cell_length_c 12.0927
_cell_angle_alpha 90.00
_cell_angle_beta 90.00
_cell_angle_gamma 90.00
loop_
_atom_site_label
_atom_site_type_symbol
_atom_site_fract_x
_atom_site_fract_y
_atom_site_fract_z
Ac1 Ac 0.0000 0.0000 0.1910
Ac2 Ac 0.0000 0.1959 0.5000
Sb1 Sb 0.0000 0.3046 0.2060
Sb2 Sb 0.0000 0.5000 0.5000
N1 N 0.0000 0.0000 0.5000
```

## Properties
Formation energy from raw total energies: -72 kJ per mole of atoms
M_tot: 0.00 μB/f.u.


Below is crystalline YIn4Rh at its relaxed geometry, with properties calculated at the GGA-PBE level.

The structure in CIF format:
```
data_YIn4Rh
_chemical_formula_sum 'Y4 In16 Rh4'
_space_group_name_H-M_alt 'F -4 3 m'
_space_group_IT_number 216
_space_group_name_Hall 'F -4 2 3'
_cell_length_a 8.2774
_cell_length_b 8.2774
_cell_length_c 8.2774
_cell_angle_alpha 90.00
_cell_angle_beta 90.00
_cell_angle_gamma 90.00
loop_
_atom_site_label
_atom_site_type_symbol
_atom_site_fract_x
_atom_site_fract_y
_atom_site_fract_z
Y1 Y 0.0000 0.0000 0.0000
In1 In 0.1249 0.1249 0.6249
Rh1 Rh 0.2500 0.2500 0.2500
```

## Properties
Energy of formation from the pure elements: 0.103 eV/atom
M_tot: 0.00 μB/f.u.